BaSb2Te after structural relaxation, computed with PBE.

For the uncorrected formation energy, the calculation gives -0.40 eV per atom. The calculation puts the energy at -3.73 eV/atom. For the calculated volume, the calculation gives 132.6 Å³ per cell.

a = 5.724 Å, b = 5.724 Å, c = 5.724 Å
α = 60.00°, β = 60.00°, γ = 60.00°
Fractional coordinates of all 4 atoms:
Ba: 0.500 0.500 0.500
Sb: 0.000 0.000 0.000
Te: 0.750 0.750 0.750
Sb: 0.250 0.250 0.250